[1]
! CeYPu2, relaxed, DFT PBE-GGA; values from VASP
&SYSTEM
  ibrav = 0, nat = 4, ntyp = 3
/
ATOMIC_SPECIES
Ce 140.12 Ce.upf
Y 88.91 Y.upf
Pu 244.00 Pu.upf
CELL_PARAMETERS angstrom
4.8843 0.0000 0.0000
0.0000 4.8843 0.0000
0.0000 0.0000 4.7366
ATOMIC_POSITIONS angstrom
Ce 0.0000 0.0000 0.0000
Y 2.4421 2.4421 0.0000
Pu 0.0000 2.4421 2.3683
Pu 2.4421 0.0000 2.3683
! - energy of formation from the pure elements (eV per atom) = 0.19
! - space group = P4/mmm
! - calculated density (g/cm3) = 10.54



[2]
! GaBrN2F, relaxed, DFT PBE-GGA; values from VASP
&SYSTEM
  ibrav = 0, nat = 5, ntyp = 4
/
ATOMIC_SPECIES
Ga 69.72 Ga.upf
Br 79.90 Br.upf
N 14.01 N.upf
F 19.00 F.upf
CELL_PARAMETERS angstrom
3.8326 0.0000 0.0000
0.0000 3.8326 0.0000
0.0000 0.0000 5.6433
ATOMIC_POSITIONS angstrom
Ga 0.0000 0.0000 0.0000
Br 1.9163 1.9163 2.8217
N 0.0000 1.9163 2.8217
N 1.9163 0.0000 2.8217
F 1.9163 1.9163 0.0000
! - electronic total energy (eV per atom) = -3.28
! - space group = P4/mmm
! - calculated density (g/cm3) = 3.94



[3]
! BaPuCrN3, relaxed, DFT PBE-GGA; values from VASP
&SYSTEM
  ibrav = 0, nat = 12, ntyp = 4
/
ATOMIC_SPECIES
Ba 137.33 Ba.upf
Pu 244.00 Pu.upf
Cr 52.00 Cr.upf
N 14.01 N.upf
CELL_PARAMETERS angstrom
6.6960 -1.8527 0.0000
6.6960 1.8527 0.0000
-1.9166 0.0000 7.1882
ATOMIC_POSITIONS angstrom
Ba 1.6876 0.0000 0.4936
Ba 9.7879 0.0000 6.6946
Pu 0.9959 0.0000 4.1416
Pu 10.4796 0.0000 3.0466
Cr 5.4239 0.0000 4.7308
Cr 6.0516 0.0000 2.4574
N -0.5518 0.0000 2.2412
N 3.3059 0.0000 4.4480
N 4.2125 0.0000 1.6861
N 7.2630 0.0000 5.5021
N 8.1695 0.0000 2.7403
N 12.0273 0.0000 4.9470
! - electronic total energy (eV per atom) = -9.28
! - space group = C2/m
! - calculated density (g/cm3) = 8.85



[4]
! CuBSe2, relaxed, DFT PBE-GGA; values from VASP
&SYSTEM
  ibrav = 0, nat = 8, ntyp = 3
/
ATOMIC_SPECIES
Cu 63.55 Cu.upf
B 10.81 B.upf
Se 78.96 Se.upf
CELL_PARAMETERS angstrom
8.3399 -1.9770 0.0000
8.3399 1.9770 0.0000
-0.8404 0.0000 6.8611
ATOMIC_POSITIONS angstrom
Cu 2.4469 0.0000 2.3640
Cu 13.3924 0.0000 4.4971
B 5.4425 0.0000 3.5432
B 10.3968 0.0000 3.3179
Se 4.8158 0.0000 1.8146
Se 6.4365 0.0000 5.1255
Se 9.4028 0.0000 1.7356
Se 11.0236 0.0000 5.0465
! - electronic total energy (eV per atom) = -4.36
! - space group = C2/m
! - calculated density (g/cm3) = 3.41



[5]
! SrMgRe2, relaxed, DFT PBE-GGA; values from VASP
&SYSTEM
  ibrav = 0, nat = 4, ntyp = 3
/
ATOMIC_SPECIES
Sr 87.62 Sr.upf
Mg 24.30 Mg.upf
Re 186.21 Re.upf
CELL_PARAMETERS angstrom
2.8174 -5.0056 0.0000
2.8174 5.0056 0.0000
0.0000 0.0000 2.7006
ATOMIC_POSITIONS angstrom
Sr 0.0000 0.0000 0.0000
Mg 2.8174 0.0000 0.0000
Re 1.4087 2.5028 1.3503
Re 1.4087 -2.5028 1.3503
! - energy of formation from the pure elements (eV per atom) = 0.98
! - space group = Cmmm
! - calculated density (g/cm3) = 10.56



[6]
! NpPaOs2, relaxed, DFT PBE-GGA; values from VASP
&SYSTEM
  ibrav = 0, nat = 4, ntyp = 3
/
ATOMIC_SPECIES
Np 237.00 Np.upf
Pa 231.04 Pa.upf
Os 190.23 Os.upf
CELL_PARAMETERS angstrom
4.5765 0.0000 0.0000
0.0000 4.5765 0.0000
0.0000 0.0000 3.7538
ATOMIC_POSITIONS angstrom
Np 0.0000 0.0000 0.0000
Pa 2.2883 2.2883 0.0000
Os 0.0000 2.2883 1.8769
Os 2.2883 0.0000 1.8769
! - energy of formation from the pure elements (eV per atom) = -0.02
! - space group = P4/mmm
! - calculated density (g/cm3) = 17.92



[7]
! Ac2DyMg5, relaxed, DFT PBE-GGA; values from VASP
&SYSTEM
  ibrav = 0, nat = 8, ntyp = 3
/
ATOMIC_SPECIES
Ac 227.00 Ac.upf
Dy 162.50 Dy.upf
Mg 24.30 Mg.upf
CELL_PARAMETERS angstrom
-2.7081 2.7081 8.1331
2.7081 -2.7081 8.1331
2.7081 2.7081 -8.1331
ATOMIC_POSITIONS angstrom
Ac 0.0000 0.0000 3.9266
Ac 0.0000 0.0000 12.3395
Dy 0.0000 0.0000 8.1331
Mg 0.0000 0.0000 0.0000
Mg 2.7081 0.0000 1.7229
Mg 2.7081 0.0000 6.4102
Mg 0.0000 2.7081 1.7229
Mg 0.0000 2.7081 6.4102
! - energy of formation from the pure elements (eV per atom) = -0.04
! - space group = I4/mmm
! - calculated density (g/cm3) = 5.14



[8]
! PmCu4, relaxed, DFT PBE-GGA; values from VASP
&SYSTEM
  ibrav = 0, nat = 5, ntyp = 2
/
ATOMIC_SPECIES
Pm 145.00 Pm.upf
Cu 63.55 Cu.upf
CELL_PARAMETERS angstrom
5.1170 0.0000 0.0000
0.0000 5.1170 0.0000
0.0000 0.0000 5.1170
ATOMIC_POSITIONS angstrom
Pm 0.0000 0.0000 0.0000
Cu 0.0000 0.0000 2.5585
Cu 0.0000 2.5585 0.0000
Cu 2.5585 0.0000 0.0000
Cu 2.5585 2.5585 2.5585
! - energy of formation from the pure elements (eV per atom) = 1.45
! - space group = Pm-3m
! - calculated density (g/cm3) = 4.95